Computed, not measured: Be3MoIr after structural relaxation at the PBEsol level of DFT.

```
Be3MoIr
1.0
4.055 0.000 0.000
0.000 4.055 0.000
0.000 0.000 4.055
Mo Be Ir
1 3 1
Direct
0.500 0.500 0.500
0.000 0.000 0.500
0.000 0.500 0.000
0.500 0.000 0.000
0.000 0.000 0.000
```

formation energy from the elements	688.8	meV per atom
total magnetic moment	1.7	μB/f.u.

---

Computed, not measured: Be2MoIr after structural relaxation at the PBEsol level of DFT.

```
Be2MoIr
1.0
-2.471 2.652 0.013
-2.261 -2.097 -1.905
0.986 -1.578 4.016
Be Ir Mo
2 1 1
Direct
0.750 0.250 0.500
0.000 0.000 0.000
0.500 0.500 0.000
0.250 0.750 0.500
```

formation energy from the elements	-107.6	meV per atom
total magnetic moment	0.0	μB/f.u.

---

Computed, not measured: Be2MoIr after structural relaxation at the PBEsol level of DFT.

```
Be2MoIr
1.0
2.716 0.000 0.000
-1.358 3.859 0.012
0.000 -1.030 4.584
Mo Be Ir
1 2 1
Direct
0.500 0.000 0.000
0.258 0.516 0.291
0.742 0.484 0.709
0.000 0.000 0.500
```

formation energy from the elements	-19.4	meV per atom
total magnetic moment	0.0	μB/f.u.

---

Computed, not measured: RbBeMo2Ir after structural relaxation at the PBEsol level of DFT.

```
RbBeMo2Ir
1.0
4.584 0.000 0.000
0.000 4.584 0.000
0.000 0.000 4.718
Mo Ir Be Rb
2 1 1 1
Direct
0.500 0.000 0.000
0.000 0.500 0.000
0.000 0.000 0.500
0.500 0.500 0.500
0.000 0.000 0.000
```

formation energy from the elements	3560.7	meV per atom
total magnetic moment	0.8	μB/f.u.

---

Computed, not measured: BeReMoIr2 after structural relaxation at the PBEsol level of DFT.

```
BeReMoIr2
1.0
4.090 0.000 0.000
0.000 4.595 0.000
0.000 0.000 4.595
Be Ir Re Mo
1 2 1 1
Direct
0.500 0.000 0.000
0.000 0.000 0.500
0.000 0.500 0.000
0.500 0.500 0.500
0.000 0.000 0.000
```

formation energy from the elements	2024.7	meV per atom
total magnetic moment	2.6	μB/f.u.

---

Computed, not measured: BeIrN3 after structural relaxation at the PBEsol level of DFT.

```
BeIrN3
1.0
-1.999 0.295 2.788
2.073 -2.149 1.713
1.887 2.674 1.070
Be N Ir
1 3 1
Direct
0.000 0.000 0.000
0.000 0.500 0.000
0.500 0.000 0.000
0.000 0.000 0.500
0.500 0.500 0.500
```

formation energy from raw total energies	1.50	eV/atom
total magnetic moment	0.0	μB/f.u.

---

Computed, not measured: BeIrN2 after structural relaxation at the PBEsol level of DFT.

```
BeIrN2
1.0
3.205 0.000 0.000
1.602 2.775 0.000
1.602 0.925 4.934
N Ir Be
2 1 1
Direct
0.896 0.896 0.312
0.104 0.104 0.688
0.500 0.500 0.500
0.000 0.000 0.000
```

formation energy from raw total energies	0.23	eV/atom
total magnetic moment	0.0	μB/f.u.

---

Computed, not measured: BeP2IrN after structural relaxation at the PBEsol level of DFT.

```
BeP2IrN
1.0
3.574 0.000 0.000
0.000 4.821 0.000
0.000 0.000 4.821
Ir N P Be
1 1 2 1
Direct
0.000 0.000 0.000
0.500 0.000 0.000
0.000 0.500 0.000
0.000 0.000 0.500
0.500 0.500 0.500
```

formation energy from raw total energies	0.99	eV/atom
total magnetic moment	0.0	μB/f.u.

---

> total magnetic moment of number 5 (BeReMoIr2)?

2.6 μB/f.u.

---

> Among the records above, which one has the highest total magnetic moment?

BeReMoIr2